Record 1
Material: EuInHg2
Method: DFT, PBEsol
State: optimized geometry

Cell: 5.131 5.131 5.131 Å, 60.00 60.00 60.00°
Fractional positions:
Eu (0.000, 0.000, 0.000)
In (0.500, 0.500, 0.500)
Hg (0.250, 0.250, 0.250)
Hg (0.750, 0.750, 0.750)

Computed properties:
SG	Fm-3m, No. 225
volume	23.88	Å³/atom
formation energy from the elements	-517	meV per atom


Record 2
Material: LaEuHg2
Method: DFT, PBEsol
State: optimized geometry

Cell: 5.391 5.391 5.391 Å, 60.00 60.00 60.00°
Fractional positions:
La (0.000, 0.000, 0.000)
Eu (0.500, 0.500, 0.500)
Hg (0.250, 0.250, 0.250)
Hg (0.750, 0.750, 0.750)

Computed properties:
SG	Fm-3m, No. 225
volume	27.70	Å³/atom
formation energy from the elements	-605	meV per atom


Record 3
Material: LiEu2Hg
Method: DFT, PBEsol
State: optimized geometry

Cell: 5.403 5.403 5.403 Å, 60.00 60.00 60.00°
Fractional positions:
Li (0.000, 0.000, 0.000)
Eu (0.250, 0.250, 0.250)
Eu (0.750, 0.750, 0.750)
Hg (0.500, 0.500, 0.500)

Computed properties:
SG	Fm-3m, No. 225
volume	27.88	Å³/atom
formation energy from the elements	-294	meV per atom


Record 4
Material: EuMgHg2
Method: DFT, PBEsol
State: optimized geometry

Cell: 5.116 5.116 5.116 Å, 60.00 60.00 60.00°
Fractional positions:
Eu (0.000, 0.000, 0.000)
Mg (0.500, 0.500, 0.500)
Hg (0.250, 0.250, 0.250)
Hg (0.750, 0.750, 0.750)

Computed properties:
SG	Fm-3m, No. 225
volume	23.68	Å³/atom
formation energy from the elements	-523	meV per atom


Record 5
Material: NaEuHg2
Method: DFT, PBEsol
State: optimized geometry

Cell: 5.237 5.237 5.237 Å, 60.00 60.00 60.00°
Fractional positions:
Na (0.000, 0.000, 0.000)
Eu (0.500, 0.500, 0.500)
Hg (0.250, 0.250, 0.250)
Hg (0.750, 0.750, 0.750)

Computed properties:
SG	Fm-3m, No. 225
volume	25.39	Å³/atom
formation energy from the elements	-413	meV per atom


Record 6
Material: EuHg2Pb
Method: DFT, PBEsol
State: optimized geometry

Cell: 5.247 5.247 5.247 Å, 60.00 60.00 60.00°
Fractional positions:
Eu (0.000, 0.000, 0.000)
Hg (0.250, 0.250, 0.250)
Hg (0.750, 0.750, 0.750)
Pb (0.500, 0.500, 0.500)

Computed properties:
SG	Fm-3m, No. 225
volume	25.53	Å³/atom
formation energy from the elements	-476	meV per atom


- What is the formula in the fifth record?
  NaEuHg2


- Which value of volume does entry 6 give?
  25.53 Å³/atom